Record 1
A plane-wave DFT calculation with GGA-PBEsol was carried out for a relaxed LiTa2Cu crystal.

```
data_LiTa2Cu
_chemical_formula_sum 'Li1 Ta2 Cu1'
_space_group_name_H-M_alt 'P 4/m m m'
_space_group_IT_number 123
_space_group_name_Hall '-P 4 2'
_cell_length_a 3.883
_cell_length_b 3.883
_cell_length_c 3.894
_cell_angle_alpha 90.00
_cell_angle_beta 90.00
_cell_angle_gamma 90.00
loop_
_atom_site_label
_atom_site_type_symbol
_atom_site_fract_x
_atom_site_fract_y
_atom_site_fract_z
Li1 Li 0.000 0.000 0.000
Ta1 Ta 0.000 0.500 0.500
Cu1 Cu 0.500 0.500 0.000
```

The calculation puts the energy of formation at 0.349 eV per atom. For the energy above the lowest structure with this stoichiometry, the calculation gives 0 meV per atom.

***

Record 2
A plane-wave DFT calculation with GGA-PBEsol was carried out for a relaxed Li2TaCu crystal.

```
data_Li2TaCu
_chemical_formula_sum 'Li4 Ta2 Cu2'
_space_group_name_H-M_alt 'C m m 2'
_space_group_IT_number 35
_space_group_name_Hall 'C 2 -2'
_cell_length_a 3.112
_cell_length_b 4.313
_cell_length_c 9.321
_cell_angle_alpha 90.00
_cell_angle_beta 90.00
_cell_angle_gamma 90.00
loop_
_atom_site_label
_atom_site_type_symbol
_atom_site_fract_x
_atom_site_fract_y
_atom_site_fract_z
Li1 Li 0.000 0.000 0.000
Li2 Li 0.000 0.500 0.279
Ta1 Ta 0.000 0.500 0.731
Cu1 Cu 0.000 0.000 0.500
```

The calculation puts the energy of formation at 0.211 eV per atom. For the energy above the lowest structure with this stoichiometry, the calculation gives 0 meV per atom.

***

Record 3
A plane-wave DFT calculation with GGA-PBEsol was carried out for a relaxed LiTaCu crystal.

```
data_LiTaCu
_chemical_formula_sum 'Li4 Ta4 Cu4'
_space_group_name_H-M_alt 'F -4 3 m'
_space_group_IT_number 216
_space_group_name_Hall 'F -4 2 3'
_cell_length_a 5.550
_cell_length_b 5.550
_cell_length_c 5.550
_cell_angle_alpha 90.00
_cell_angle_beta 90.00
_cell_angle_gamma 90.00
loop_
_atom_site_label
_atom_site_type_symbol
_atom_site_fract_x
_atom_site_fract_y
_atom_site_fract_z
Li1 Li 0.000 0.000 0.000
Ta1 Ta 0.250 0.250 0.750
Cu1 Cu 0.250 0.250 0.250
```

The calculation puts the energy of formation at 1.114 eV per atom.

***

Record 4
A plane-wave DFT calculation with GGA-PBEsol was carried out for a relaxed LiCu2Tc crystal.

```
data_LiCu2Tc
_chemical_formula_sum 'Li1 Cu2 Tc1'
_space_group_name_H-M_alt 'P 1 m 1'
_space_group_IT_number 6
_space_group_name_Hall 'P -2y'
_cell_length_a 2.450
_cell_length_b 4.370
_cell_length_c 4.624
_cell_angle_alpha 90.00
_cell_angle_beta 90.03
_cell_angle_gamma 90.00
loop_
_atom_site_label
_atom_site_type_symbol
_atom_site_fract_x
_atom_site_fract_y
_atom_site_fract_z
Li1 Li 0.000 0.000 0.000
Cu1 Cu 0.497 0.500 0.863
Cu2 Cu 0.498 0.000 0.505
Tc1 Tc 0.997 0.500 0.368
```

The calculation puts the energy of formation at 0.134 eV per atom. For the energy above the lowest structure with this stoichiometry, the calculation gives 0 meV per atom.

***

Record 5
A plane-wave DFT calculation with GGA-PBEsol was carried out for a relaxed LiCu2Tc crystal.

```
data_LiCu2Tc
_chemical_formula_sum 'Li2 Cu4 Tc2'
_space_group_name_H-M_alt 'C m m m'
_space_group_IT_number 65
_space_group_name_Hall '-C 2 2'
_cell_length_a 5.541
_cell_length_b 7.313
_cell_length_c 2.455
_cell_angle_alpha 90.00
_cell_angle_beta 90.00
_cell_angle_gamma 90.00
loop_
_atom_site_label
_atom_site_type_symbol
_atom_site_fract_x
_atom_site_fract_y
_atom_site_fract_z
Li1 Li 0.000 0.000 0.000
Cu1 Cu 0.250 0.250 0.500
Tc1 Tc 0.000 0.500 0.000
```

The calculation puts the energy of formation at 0.138 eV per atom. For the energy above the lowest structure with this stoichiometry, the calculation gives 3 meV per atom.

***

Record 6
A plane-wave DFT calculation with GGA-PBEsol was carried out for a relaxed LiCu2Tc crystal.

```
data_LiCu2Tc
_chemical_formula_sum 'Li4 Cu8 Tc4'
_space_group_name_H-M_alt 'F m -3 m'
_space_group_IT_number 225
_space_group_name_Hall '-F 4 2 3'
_cell_length_a 5.838
_cell_length_b 5.838
_cell_length_c 5.838
_cell_angle_alpha 90.00
_cell_angle_beta 90.00
_cell_angle_gamma 90.00
loop_
_atom_site_label
_atom_site_type_symbol
_atom_site_fract_x
_atom_site_fract_y
_atom_site_fract_z
Li1 Li 0.000 0.000 0.000
Cu1 Cu 0.250 0.250 0.250
Tc1 Tc 0.000 0.000 0.500
```

The calculation puts the energy of formation at 0.389 eV per atom. For the energy above the lowest structure with this stoichiometry, the calculation gives 255 meV per atom.

***

Record 7
A plane-wave DFT calculation with GGA-PBEsol was carried out for a relaxed LiCu2Tc crystal.

```
data_LiCu2Tc
_chemical_formula_sum 'Li1 Cu2 Tc1'
_space_group_name_H-M_alt 'P 4 m m'
_space_group_IT_number 99
_space_group_name_Hall 'P 4 -2'
_cell_length_a 2.498
_cell_length_b 2.498
_cell_length_c 7.971
_cell_angle_alpha 90.00
_cell_angle_beta 90.00
_cell_angle_gamma 90.00
loop_
_atom_site_label
_atom_site_type_symbol
_atom_site_fract_x
_atom_site_fract_y
_atom_site_fract_z
Li1 Li 0.000 0.000 0.000
Cu1 Cu 0.000 0.000 0.474
Cu2 Cu 0.500 0.500 0.249
Tc1 Tc 0.500 0.500 0.727
```

The calculation puts the energy of formation at 0.170 eV per atom. For the energy above the lowest structure with this stoichiometry, the calculation gives 35 meV per atom.

***

Record 8
A plane-wave DFT calculation with GGA-PBEsol was carried out for a relaxed LiCuTe2 crystal.

```
data_LiCuTe2
_chemical_formula_sum 'Li2 Cu2 Te4'
_space_group_name_H-M_alt 'I -4 m 2'
_space_group_IT_number 119
_space_group_name_Hall 'I -4 -2'
_cell_length_a 3.882
_cell_length_b 3.882
_cell_length_c 10.965
_cell_angle_alpha 90.00
_cell_angle_beta 90.00
_cell_angle_gamma 90.00
loop_
_atom_site_label
_atom_site_type_symbol
_atom_site_fract_x
_atom_site_fract_y
_atom_site_fract_z
Li1 Li 0.000 0.000 0.000
Cu1 Cu 0.000 0.500 0.750
Te1 Te 0.000 0.000 0.500
Te2 Te 0.000 0.500 0.250
```

The calculation puts the formation energy (no corrections) at -96 meV/atom.

***

Record 9
A plane-wave DFT calculation with GGA-PBEsol was carried out for a relaxed LiCuTe2 crystal.

```
data_LiCuTe2
_chemical_formula_sum 'Li1 Cu1 Te2'
_space_group_name_H-M_alt 'P 4/m m m'
_space_group_IT_number 123
_space_group_name_Hall '-P 4 2'
_cell_length_a 3.311
_cell_length_b 3.311
_cell_length_c 7.656
_cell_angle_alpha 90.00
_cell_angle_beta 90.00
_cell_angle_gamma 90.00
loop_
_atom_site_label
_atom_site_type_symbol
_atom_site_fract_x
_atom_site_fract_y
_atom_site_fract_z
Li1 Li 0.000 0.000 0.000
Cu1 Cu 0.000 0.000 0.500
Te1 Te 0.500 0.500 0.266
```

The calculation puts the formation energy (no corrections) at -43 meV/atom.

***

Record 10
A plane-wave DFT calculation with GGA-PBEsol was carried out for a relaxed LiCu2Te crystal.

```
data_LiCu2Te
_chemical_formula_sum 'Li2 Cu4 Te2'
_space_group_name_H-M_alt 'I 4/m m m'
_space_group_IT_number 139
_space_group_name_Hall '-I 4 2'
_cell_length_a 3.858
_cell_length_b 3.858
_cell_length_c 8.064
_cell_angle_alpha 90.00
_cell_angle_beta 90.00
_cell_angle_gamma 90.00
loop_
_atom_site_label
_atom_site_type_symbol
_atom_site_fract_x
_atom_site_fract_y
_atom_site_fract_z
Li1 Li 0.000 0.000 0.000
Cu1 Cu 0.000 0.500 0.250
Te1 Te 0.000 0.000 0.500
```

The calculation puts the formation energy (no corrections) at -111 meV/atom.

***

Record 11
A plane-wave DFT calculation with GGA-PBEsol was carried out for a relaxed LiTiCu3 crystal.

```
data_LiTiCu3
_chemical_formula_sum 'Li1 Ti1 Cu3'
_space_group_name_H-M_alt 'P m -3 m'
_space_group_IT_number 221
_space_group_name_Hall '-P 4 2 3'
_cell_length_a 4.012
_cell_length_b 4.012
_cell_length_c 4.012
_cell_angle_alpha 90.00
_cell_angle_beta 90.00
_cell_angle_gamma 90.00
loop_
_atom_site_label
_atom_site_type_symbol
_atom_site_fract_x
_atom_site_fract_y
_atom_site_fract_z
Li1 Li 0.000 0.000 0.000
Ti1 Ti 0.500 0.500 0.500
Cu1 Cu 0.000 0.000 0.500
```

The calculation puts the energy of formation at 0.545 eV per atom.

***

Record 12
A plane-wave DFT calculation with GGA-PBEsol was carried out for a relaxed LiTl2Cu crystal.

```
data_LiTl2Cu
_chemical_formula_sum 'Li2 Tl4 Cu2'
_space_group_name_H-M_alt 'C 1 2/m 1'
_space_group_IT_number 12
_space_group_name_Hall '-C 2y'
_cell_length_a 8.723
_cell_length_b 3.416
_cell_length_c 5.579
_cell_angle_alpha 90.00
_cell_angle_beta 104.74
_cell_angle_gamma 90.00
loop_
_atom_site_label
_atom_site_type_symbol
_atom_site_fract_x
_atom_site_fract_y
_atom_site_fract_z
Li1 Li 0.000 0.000 0.000
Tl1 Tl 0.242 0.000 0.737
Cu1 Cu 0.000 0.500 0.500
```

The calculation puts the energy of formation at 0.075 eV per atom.

***

Record 13
A plane-wave DFT calculation with GGA-PBEsol was carried out for a relaxed Li2TlCu crystal.

```
data_Li2TlCu
_chemical_formula_sum 'Li2 Tl1 Cu1'
_space_group_name_H-M_alt 'P 4 m m'
_space_group_IT_number 99
_space_group_name_Hall 'P 4 -2'
_cell_length_a 3.305
_cell_length_b 3.305
_cell_length_c 6.060
_cell_angle_alpha 90.00
_cell_angle_beta 90.00
_cell_angle_gamma 90.00
loop_
_atom_site_label
_atom_site_type_symbol
_atom_site_fract_x
_atom_site_fract_y
_atom_site_fract_z
Li1 Li 0.000 0.000 0.000
Li2 Li 0.500 0.500 0.263
Tl1 Tl 0.000 0.000 0.535
Cu1 Cu 0.500 0.500 0.795
```

The calculation puts the energy of formation at -0.029 eV per atom.

***

Record 14
A plane-wave DFT calculation with GGA-PBEsol was carried out for a relaxed LiTlCu4 crystal.

```
data_LiTlCu4
_chemical_formula_sum 'Li4 Tl4 Cu16'
_space_group_name_H-M_alt 'F -4 3 m'
_space_group_IT_number 216
_space_group_name_Hall 'F -4 2 3'
_cell_length_a 6.945
_cell_length_b 6.945
_cell_length_c 6.945
_cell_angle_alpha 90.00
_cell_angle_beta 90.00
_cell_angle_gamma 90.00
loop_
_atom_site_label
_atom_site_type_symbol
_atom_site_fract_x
_atom_site_fract_y
_atom_site_fract_z
Li1 Li 0.000 0.000 0.000
Tl1 Tl 0.250 0.250 0.250
Cu1 Cu 0.125 0.125 0.625
```

The calculation puts the energy of formation at 0.004 eV per atom.

***

Record 15
A plane-wave DFT calculation with GGA-PBEsol was carried out for a relaxed Li2TlCu crystal.

```
data_Li2TlCu
_chemical_formula_sum 'Li2 Tl1 Cu1'
_space_group_name_H-M_alt 'P m m m'
_space_group_IT_number 47
_space_group_name_Hall '-P 2 2'
_cell_length_a 3.102
_cell_length_b 3.337
_cell_length_c 6.100
_cell_angle_alpha 90.00
_cell_angle_beta 90.00
_cell_angle_gamma 90.00
loop_
_atom_site_label
_atom_site_type_symbol
_atom_site_fract_x
_atom_site_fract_y
_atom_site_fract_z
Li1 Li 0.000 0.000 0.216
Tl1 Tl 0.500 0.500 0.500
Cu1 Cu 0.500 0.500 0.000
```

The calculation puts the energy of formation at -0.062 eV per atom.

***

Computed values of density of states at the Fermi level (unit: states/eV per cell) for the preceding records, in sequence: 3.4, 5.3, 14.2, 2.6, 3.9, 11.2, 2.2, 5.9, 2.2, 2.3, 5.2, 3.0, 1.4, 9.5, 1.3.